(1)
VASP calculation (PBE) on an optimized crystal structure of AcGe2Au6.

The structure in POSCAR format:
```
AcGe2Au6
1.0
5.714 0.000 0.000
-2.857 4.949 0.000
0.000 0.000 7.724
Ac Ge Au
1 2 6
direct
0.000 0.000 0.000 Ac
0.333 0.667 0.500 Ge
0.667 0.333 0.500 Ge
0.000 0.500 0.209 Au
0.000 0.500 0.791 Au
0.500 0.000 0.209 Au
0.500 0.000 0.791 Au
0.500 0.500 0.209 Au
0.500 0.500 0.791 Au
```

Properties
- density of states at the Fermi level (states/eV/cell) = 1.9
- V (Å³ per cell) = 218.4
- DFT formation energy (meV per atom) = -181
- SG = P6/mmm

***

(2)
VASP calculation (PBE) on an optimized crystal structure of Ac3Ge2Au7.

The structure in POSCAR format:
```
Ac3Ge2Au7
1.0
-2.278 2.278 14.453
2.278 -2.278 14.453
2.278 2.278 -14.453
Ac Ge Au
3 2 7
direct
0.000 0.000 0.000 Ac
0.173 0.173 0.000 Ac
0.827 0.827 0.000 Ac
0.373 0.373 0.000 Ge
0.627 0.627 0.000 Ge
0.081 0.581 0.500 Au
0.282 0.282 0.000 Au
0.419 0.919 0.500 Au
0.500 0.500 0.000 Au
0.581 0.081 0.500 Au
0.718 0.718 0.000 Au
0.919 0.419 0.500 Au
```

Properties
- density of states at the Fermi level (states/eV/cell) = 7.3
- V (Å³ per cell) = 300.1
- DFT formation energy (meV per atom) = -515
- SG = I4/mmm

***

(3)
VASP calculation (PBE) on an optimized crystal structure of AcGe2Au.

The structure in POSCAR format:
```
AcGe2Au
1.0
-2.349 4.546 8.900
2.349 -4.546 8.900
2.349 4.546 -8.900
Ac Ge Au
4 8 4
direct
0.203 0.203 0.000 Ac
0.250 0.000 0.250 Ac
0.750 0.000 0.750 Ac
0.797 0.797 0.000 Ac
0.071 0.571 0.500 Ge
0.167 0.810 0.357 Ge
0.430 0.430 0.000 Ge
0.453 0.810 0.643 Ge
0.547 0.190 0.357 Ge
0.570 0.570 0.000 Ge
0.833 0.190 0.643 Ge
0.929 0.429 0.500 Ge
0.103 0.353 0.750 Au
0.398 0.647 0.750 Au
0.602 0.353 0.250 Au
0.897 0.647 0.250 Au
```

Properties
- density of states at the Fermi level (states/eV/cell) = 6.7
- V (Å³ per cell) = 380.2
- DFT formation energy (meV per atom) = -599
- offset from the most stable computed form (meV per atom) = 0
- SG = Immm

***

(4)
VASP calculation (PBE) on an optimized crystal structure of Ac2GeAu3.

The structure in POSCAR format:
```
Ac2GeAu3
1.0
4.077 0.000 0.000
0.000 4.657 0.000
0.000 0.000 8.338
Ac Ge Au
2 1 3
direct
0.000 0.000 0.000 Ac
0.000 0.500 0.500 Ac
0.500 0.000 0.330 Ge
0.500 0.000 0.651 Au
0.500 0.500 0.178 Au
0.500 0.500 0.840 Au
```

Properties
- density of states at the Fermi level (states/eV/cell) = 3.3
- V (Å³ per cell) = 158.3
- DFT formation energy (meV per atom) = -813
- offset from the most stable computed form (meV per atom) = 9
- SG = Pmm2